No. 1
Compound: Zr4As2N
Source: the Alexandria database
Functional: PBE
Structure: relaxed

## Properties
Energy above the lowest structure with this stoichiometry (kJ per mole of atoms): 5.0
DOS(E_F) (states/eV/f.u.): 4.678

```
Zr4As2N
1.0
-2.133 2.133 7.210
2.133 -2.133 7.210
2.133 2.133 -7.210
Zr As N
4 2 1
Direct
0.000 0.500 0.500
0.169 0.169 0.000
0.500 0.000 0.500
0.831 0.831 0.000
0.358 0.358 0.000
0.642 0.642 0.000
0.000 0.000 0.000
```

=====

No. 2
Compound: Tm5Si2Sn
Source: the Alexandria database
Functional: PBE
Structure: relaxed

## Properties
DOS(E_F) (states/eV/f.u.): 6.562

```
Tm5Si2Sn
1.0
-3.854 3.854 6.631
3.854 -3.854 6.631
3.854 3.854 -6.631
Tm Si Sn
10 4 2
Direct
0.000 0.000 0.000
0.017 0.517 0.815
0.202 0.017 0.500
0.298 0.798 0.815
0.483 0.298 0.500
0.500 0.500 0.000
0.517 0.702 0.500
0.702 0.202 0.185
0.798 0.983 0.500
0.983 0.483 0.185
0.143 0.357 0.500
0.357 0.857 0.215
0.643 0.143 0.785
0.857 0.643 0.500
0.250 0.250 0.000
0.750 0.750 0.000
```

=====

No. 3
Compound: Ce8Os3SI4
Source: the Alexandria database
Functional: PBE
Structure: relaxed

## Properties
DOS(E_F) (states/eV/f.u.): 38.836

```
Ce8Os3SI4
1.0
4.150 2.396 7.855
-4.150 2.396 7.855
0.000 -4.792 7.855
Ce Os S I
8 3 1 4
Direct
0.222 0.733 0.733
0.228 0.228 0.228
0.267 0.267 0.778
0.267 0.778 0.267
0.733 0.222 0.733
0.733 0.733 0.222
0.772 0.772 0.772
0.778 0.267 0.267
0.000 0.000 0.500
0.000 0.500 0.000
0.500 0.000 0.000
0.500 0.500 0.500
0.000 0.000 0.000
0.000 0.500 0.500
0.500 0.000 0.500
0.500 0.500 0.000
```

=====

No. 4
Compound: ZrTaBr2
Source: the Alexandria database
Functional: PBE
Structure: relaxed

## Properties
Energy above the lowest structure with this stoichiometry (kJ per mole of atoms): 106.6
DOS(E_F) (states/eV/f.u.): 6.486

```
ZrTaBr2
1.0
-1.977 1.977 5.291
1.977 -1.977 5.291
1.977 1.977 -5.291
Zr Ta Br
1 1 2
Direct
0.000 0.000 0.000
0.750 0.250 0.500
0.250 0.750 0.500
0.500 0.500 0.000
```

=====

no.,formation energy without anion corrections (eV per formula unit),M_tot (μB per formula unit)
1,-6.6,0.0
2,-5.5,0.0
3,-12.9,6.8
4,2.2,0.0